# NaTlCl4 GGA-PBE relaxed
# Spin magnetization: 0.0 μB/f.u.
# ΔE_f (raw): -1.038 eV/atom
# E_tot: -2.88 eV per atom
# Crystal system: tetragonal
# D(E_F): 0.000 states/eV/atom
data_NaTlCl4
_symmetry_space_group_name_H-M 'P 1'
_symmetry_Int_Tables_number 1
_cell_length_a 9.038
_cell_length_b 9.038
_cell_length_c 9.038
_cell_angle_alpha 136.85
_cell_angle_beta 136.85
_cell_angle_gamma 62.67
loop_
_symmetry_equiv_pos_as_xyz
'x,y,z'
loop_
_atom_site_label
_atom_site_type_symbol
_atom_site_fract_x
_atom_site_fract_y
_atom_site_fract_z
_atom_site_occupancy
Na1 Na 0.375 0.125 0.250 1
Na2 Na 0.625 0.875 0.750 1
Tl1 Tl 0.125 0.375 0.750 1
Tl2 Tl 0.875 0.625 0.250 1
Cl1 Cl 0.019 0.720 0.825 1
Cl2 Cl 0.220 0.895 0.700 1
Cl3 Cl 0.306 0.481 0.200 1
Cl4 Cl 0.395 0.194 0.675 1
Cl5 Cl 0.605 0.806 0.325 1
Cl6 Cl 0.694 0.519 0.800 1
Cl7 Cl 0.780 0.105 0.300 1
Cl8 Cl 0.981 0.280 0.175 1